# 1
Compound: KPrAsO
Source: the Open Quantum Materials Database
Functional: PBE-GGA
Structure: optimized geometry

Unit cell a=4.554 b=6.838 c=5.968 alpha=90.00 beta=90.00 gamma=90.00
Positions (direct):
As (0.000, 0.496, 0.319)
As (0.000, 0.504, 0.819)
K (0.000, 0.104, 0.061)
K (0.000, 0.896, 0.561)
O (0.500, 0.999, 0.313)
O (0.500, 0.001, 0.813)
Pr (0.500, 0.744, 0.062)
Pr (0.500, 0.256, 0.562)

Properties
Relative energy among the computed polymorphs: 0 meV/atom
Space-group type: Pmc2_1, No. 26

# 2
Compound: KPrAsO
Source: the Open Quantum Materials Database
Functional: PBE-GGA
Structure: optimized geometry

Unit cell a=4.175 b=4.175 c=11.076 alpha=90.00 beta=90.00 gamma=90.01
Positions (direct):
As (0.750, 0.750, 0.276)
As (0.250, 0.250, 0.722)
K (0.750, 0.250, 0.499)
K (0.250, 0.750, 0.499)
O (0.750, 0.250, 0.001)
O (0.250, 0.750, 0.001)
Pr (0.250, 0.250, 0.104)
Pr (0.750, 0.750, 0.898)

Properties
Relative energy among the computed polymorphs: 54 meV/atom
Space-group type: P4mm, No. 99

# 3
Compound: KPrAsO
Source: the Open Quantum Materials Database
Functional: PBE-GGA
Structure: optimized geometry

Unit cell a=6.040 b=6.040 c=5.364 alpha=90.00 beta=90.00 gamma=90.00
Positions (direct):
As (0.750, 0.750, 0.498)
As (0.250, 0.250, 0.502)
K (0.250, 0.250, 0.001)
K (0.750, 0.750, 0.999)
O (0.750, 0.250, 0.000)
O (0.250, 0.750, 0.000)
Pr (0.750, 0.250, 0.500)
Pr (0.250, 0.750, 0.500)

Properties
Relative energy among the computed polymorphs: 523 meV/atom
Space-group type: P4/nmm, No. 129

# 4
Compound: KPrAsO
Source: the Open Quantum Materials Database
Functional: PBE-GGA
Structure: optimized geometry

Unit cell a=4.179 b=4.179 c=11.065 alpha=90.00 beta=90.00 gamma=90.00
Positions (direct):
As (0.750, 0.750, 0.276)
As (0.250, 0.250, 0.724)
K (0.750, 0.250, 0.500)
K (0.250, 0.750, 0.500)
O (0.750, 0.250, 0.000)
O (0.250, 0.750, 0.000)
Pr (0.250, 0.250, 0.103)
Pr (0.750, 0.750, 0.897)

Properties
Relative energy among the computed polymorphs: 54 meV/atom
Space-group type: P4/nmm, No. 129

# 5
Compound: KPrAsO
Source: the Open Quantum Materials Database
Functional: PBE-GGA
Structure: optimized geometry

Unit cell a=3.637 b=8.203 c=7.625 alpha=90.00 beta=90.00 gamma=90.00
Positions (direct):
As (0.000, 0.286, 0.332)
As (0.000, 0.714, 0.832)
K (0.500, 0.964, 0.101)
K (0.500, 0.036, 0.601)
O (0.500, 0.772, 0.374)
O (0.500, 0.228, 0.874)
Pr (0.000, 0.636, 0.446)
Pr (0.000, 0.364, 0.946)

Properties
Relative energy among the computed polymorphs: 50 meV/atom
Space-group type: Pmc2_1, No. 26

# 6
Compound: KAsPtO
Source: the Open Quantum Materials Database
Functional: PBE-GGA
Structure: optimized geometry

Unit cell a=4.303 b=4.303 c=9.608 alpha=90.00 beta=90.00 gamma=90.11
Last column: magnetic moment on the atom in μB.
Positions (direct):
As (0.250, 0.750, 0.366)  0.00
As (0.750, 0.250, 0.634)  0.00
K (0.750, 0.250, 0.150)  0.00
K (0.250, 0.750, 0.850)  0.00
O (0.250, 0.250, 0.000)  -0.90
O (0.750, 0.750, 0.000)  -0.90
Pt (0.250, 0.250, 0.500)  0.00
Pt (0.750, 0.750, 0.500)  0.00

Properties
Relative energy among the computed polymorphs: 232 meV/atom
Space-group type: Cmme, No. 67

# 7
Compound: KAsPtO
Source: the Open Quantum Materials Database
Functional: PBE-GGA
Structure: optimized geometry

Unit cell a=3.845 b=5.564 c=7.924 alpha=90.00 beta=90.00 gamma=90.00
Last column: magnetic moment on the atom in μB.
Positions (direct):
As (0.000, 0.316, 0.263)  0.03
As (0.000, 0.684, 0.763)  0.03
K (0.500, 0.836, 0.105)  0.00
K (0.500, 0.164, 0.605)  0.00
O (0.500, 0.743, 0.433)  0.05
O (0.500, 0.257, 0.933)  0.05
Pt (0.000, 0.651, 0.454)  0.08
Pt (0.000, 0.349, 0.954)  0.08

Properties
Relative energy among the computed polymorphs: 123 meV/atom
Space-group type: Pmc2_1, No. 26

# 8
Compound: KAsPtO
Source: the Open Quantum Materials Database
Functional: PBE-GGA
Structure: optimized geometry

Unit cell a=3.553 b=7.620 c=6.187 alpha=90.00 beta=90.00 gamma=90.00
Positions (direct):
As (0.000, 0.661, 0.380)
As (0.000, 0.339, 0.880)
K (0.000, 0.115, 0.426)
K (0.000, 0.885, 0.926)
O (0.500, 0.324, 0.350)
O (0.500, 0.676, 0.850)
Pt (0.500, 0.496, 0.097)
Pt (0.500, 0.504, 0.597)

Properties
Relative energy among the computed polymorphs: 0 meV/atom
Space-group type: Pmc2_1, No. 26

# 9
Compound: KAsPtO
Source: the Open Quantum Materials Database
Functional: PBE-GGA
Structure: optimized geometry

Unit cell a=4.570 b=4.570 c=8.779 alpha=90.00 beta=90.00 gamma=90.00
Positions (direct):
As (0.250, 0.250, 0.004)
As (0.750, 0.750, 0.996)
K (0.750, 0.250, 0.500)
K (0.250, 0.750, 0.500)
O (0.750, 0.250, 0.000)
O (0.250, 0.750, 0.000)
Pt (0.250, 0.250, 0.266)
Pt (0.750, 0.750, 0.734)

Properties
Relative energy among the computed polymorphs: 692 meV/atom
Space-group type: P4/nmm, No. 129

# 10
Compound: KReAsO
Source: the Open Quantum Materials Database
Functional: PBE-GGA
Structure: optimized geometry

Unit cell a=3.812 b=5.489 c=7.898 alpha=90.00 beta=90.00 gamma=90.00
Positions (direct):
As (0.000, 0.836, 0.260)
As (0.000, 0.164, 0.760)
K (0.500, 0.323, 0.097)
K (0.500, 0.677, 0.597)
O (0.500, 0.209, 0.445)
O (0.500, 0.791, 0.945)
Re (0.000, 0.178, 0.452)
Re (0.000, 0.822, 0.952)

Properties
Relative energy among the computed polymorphs: 133 meV/atom
Space-group type: Pmc2_1, No. 26

# 11
Compound: KReAsO
Source: the Open Quantum Materials Database
Functional: PBE-GGA
Structure: optimized geometry

Unit cell a=3.734 b=3.734 c=11.849 alpha=90.00 beta=90.00 gamma=90.00
Positions (direct):
As (0.000, 0.500, 0.351)
As (0.500, 0.000, 0.649)
K (0.500, 0.000, 0.148)
K (0.000, 0.500, 0.852)
O (0.000, 0.000, 0.000)
O (0.500, 0.500, 0.000)
Re (0.000, 0.000, 0.500)
Re (0.500, 0.500, 0.500)

Properties
Relative energy among the computed polymorphs: 557 meV/atom
Space-group type: P4/nmm, No. 129

# 12
Compound: KReAsO
Source: the Open Quantum Materials Database
Functional: PBE-GGA
Structure: optimized geometry

Unit cell a=3.282 b=8.070 c=5.913 alpha=90.00 beta=90.00 gamma=90.00
Positions (direct):
As (0.000, 0.183, 0.378)
As (0.000, 0.817, 0.878)
K (0.000, 0.616, 0.373)
K (0.000, 0.384, 0.873)
O (0.500, 0.840, 0.391)
O (0.500, 0.160, 0.891)
Re (0.500, 0.975, 0.112)
Re (0.500, 0.025, 0.612)

Properties
Relative energy among the computed polymorphs: 0 meV/atom
Space-group type: Pmc2_1, No. 26

# 13
Compound: KReAsO
Source: the Open Quantum Materials Database
Functional: PBE-GGA
Structure: optimized geometry

Unit cell a=3.583 b=3.583 c=9.798 alpha=90.00 beta=90.00 gamma=90.00
Positions (direct):
As (0.750, 0.750, 0.244)
As (0.250, 0.250, 0.756)
K (0.750, 0.250, 0.500)
K (0.250, 0.750, 0.500)
O (0.750, 0.250, 0.000)
O (0.250, 0.750, 0.000)
Re (0.250, 0.250, 0.128)
Re (0.750, 0.750, 0.872)

Properties
Relative energy among the computed polymorphs: 921 meV/atom
Space-group type: P4/nmm, No. 129

# 14
Compound: KSmAsO
Source: the Open Quantum Materials Database
Functional: PBE-GGA
Structure: optimized geometry

Unit cell a=5.968 b=5.968 c=5.213 alpha=90.00 beta=90.00 gamma=90.00
Positions (direct):
As (0.000, 0.500, 0.499)
As (0.500, 0.000, 0.501)
K (0.500, 0.000, 0.001)
K (0.000, 0.500, 0.999)
O (0.000, 0.000, 0.000)
O (0.500, 0.500, 0.000)
Sm (0.000, 0.000, 0.500)
Sm (0.500, 0.500, 0.500)

Properties
Relative energy among the computed polymorphs: 542 meV/atom
Space-group type: P4/nmm, No. 129

# 15
Compound: KSmAsO
Source: the Open Quantum Materials Database
Functional: PBE-GGA
Structure: optimized geometry

Unit cell a=4.541 b=6.666 c=5.901 alpha=90.00 beta=90.00 gamma=90.00
Positions (direct):
As (0.000, 0.990, 0.327)
As (0.000, 0.010, 0.827)
K (0.000, 0.600, 0.057)
K (0.000, 0.400, 0.557)
O (0.500, 0.500, 0.310)
O (0.500, 0.500, 0.810)
Sm (0.500, 0.245, 0.059)
Sm (0.500, 0.755, 0.559)

Properties
Relative energy among the computed polymorphs: 0 meV/atom
Space-group type: Pmc2_1, No. 26

# 16
Compound: KSmAsO
Source: the Open Quantum Materials Database
Functional: PBE-GGA
Structure: optimized geometry

Unit cell a=3.535 b=7.974 c=7.812 alpha=90.00 beta=90.00 gamma=90.00
Positions (direct):
As (0.000, 0.291, 0.322)
As (0.000, 0.709, 0.822)
K (0.500, 0.951, 0.099)
K (0.500, 0.049, 0.599)
O (0.500, 0.771, 0.379)
O (0.500, 0.229, 0.879)
Sm (0.000, 0.636, 0.453)
Sm (0.000, 0.364, 0.953)

Properties
Relative energy among the computed polymorphs: 8 meV/atom
Space-group type: Pmc2_1, No. 26

# 17
Compound: KSmAsO
Source: the Open Quantum Materials Database
Functional: PBE-GGA
Structure: optimized geometry

Unit cell a=4.104 b=4.104 c=10.957 alpha=90.00 beta=90.00 gamma=90.00
Positions (direct):
As (0.750, 0.750, 0.273)
As (0.250, 0.250, 0.727)
K (0.750, 0.250, 0.500)
K (0.250, 0.750, 0.500)
O (0.750, 0.250, 0.000)
O (0.250, 0.750, 0.000)
Sm (0.250, 0.250, 0.100)
Sm (0.750, 0.750, 0.900)

Properties
Relative energy among the computed polymorphs: 51 meV/atom
Space-group type: P4/nmm, No. 129

# 18
Compound: KTaAsO
Source: the Open Quantum Materials Database
Functional: PBE-GGA
Structure: optimized geometry

Unit cell a=3.561 b=7.956 c=5.988 alpha=90.00 beta=90.00 gamma=90.00
Positions (direct):
As (0.000, 0.683, 0.375)
As (0.000, 0.317, 0.875)
K (0.000, 0.113, 0.384)
K (0.000, 0.887, 0.884)
O (0.500, 0.330, 0.373)
O (0.500, 0.670, 0.873)
Ta (0.500, 0.500, 0.122)
Ta (0.500, 0.500, 0.622)

Properties
Relative energy among the computed polymorphs: 0 meV/atom
Space-group type: Pmc2_1, No. 26

# 19
Compound: KTaAsO
Source: the Open Quantum Materials Database
Functional: PBE-GGA
Structure: optimized geometry

Unit cell a=3.669 b=3.669 c=9.954 alpha=90.00 beta=90.00 gamma=90.00
Last column: magnetic moment on the atom in μB.
Positions (direct):
As (0.000, 0.500, 0.247)  -0.03
As (0.500, 0.000, 0.753)  -0.03
K (0.000, 0.000, 0.500)  0.02
K (0.500, 0.500, 0.500)  0.02
O (0.000, 0.000, 0.000)  0.00
O (0.500, 0.500, 0.000)  0.00
Ta (0.500, 0.000, 0.120)  0.55
Ta (0.000, 0.500, 0.880)  0.55

Properties
Relative energy among the computed polymorphs: 626 meV/atom
Space-group type: P4/nmm, No. 129

# 20
Compound: KTaAsO
Source: the Open Quantum Materials Database
Functional: PBE-GGA
Structure: optimized geometry

Unit cell a=3.661 b=6.520 c=7.915 alpha=90.00 beta=90.00 gamma=90.00
Last column: magnetic moment on the atom in μB.
Positions (direct):
As (0.000, 0.866, 0.275)  -0.03
As (0.000, 0.134, 0.775)  -0.02
K (0.500, 0.345, 0.087)  0.01
K (0.500, 0.655, 0.587)  0.01
O (0.500, 0.279, 0.429)  0.00
O (0.500, 0.721, 0.929)  0.00
Ta (0.000, 0.169, 0.462)  0.63
Ta (0.000, 0.831, 0.962)  0.67

Properties
Relative energy among the computed polymorphs: 298 meV/atom
Space-group type: Pmc2_1, No. 26

# 21
Compound: KTaAsO
Source: the Open Quantum Materials Database
Functional: PBE-GGA
Structure: optimized geometry

Unit cell a=4.124 b=4.124 c=10.820 alpha=90.00 beta=90.00 gamma=90.00
Positions (direct):
As (0.000, 0.500, 0.352)
As (0.500, 0.000, 0.648)
K (0.500, 0.000, 0.143)
K (0.000, 0.500, 0.857)
O (0.000, 0.000, 0.000)
O (0.500, 0.500, 0.000)
Ta (0.000, 0.000, 0.500)
Ta (0.500, 0.500, 0.500)

Properties
Relative energy among the computed polymorphs: 1107 meV/atom
Space-group type: P4/nmm, No. 129

# 22
Compound: KTaAsO
Source: the Open Quantum Materials Database
Functional: PBE-GGA
Structure: optimized geometry

Unit cell a=3.669 b=3.669 c=9.954 alpha=90.00 beta=90.00 gamma=90.00
Last column: magnetic moment on the atom in μB.
Positions (direct):
K (0.000, 0.000, 0.500)  0.02
K (0.500, 0.500, 0.500)  0.02
O (0.000, 0.000, 0.000)  0.00
O (0.500, 0.500, 0.000)  0.00
Ta (0.500, 0.000, 0.120)  0.55
Ta (0.000, 0.500, 0.880)  0.55
As (0.000, 0.500, 0.247)  -0.03
As (0.500, 0.000, 0.753)  -0.03

Properties
Relative energy among the computed polymorphs: 626 meV/atom
Space-group type: P4/nmm, No. 129

# 23
Compound: KTbAsO
Source: the Open Quantum Materials Database
Functional: PBE-GGA
Structure: optimized geometry

Unit cell a=3.466 b=7.843 c=7.782 alpha=90.00 beta=90.00 gamma=90.00
Positions (direct):
As (0.000, 0.289, 0.319)
As (0.000, 0.711, 0.819)
K (0.500, 0.952, 0.101)
K (0.500, 0.048, 0.601)
O (0.500, 0.762, 0.379)
O (0.500, 0.238, 0.879)
Tb (0.000, 0.631, 0.455)
Tb (0.000, 0.369, 0.955)

Properties
Relative energy among the computed polymorphs: 0 meV/atom
Space-group type: Pmc2_1, No. 26

# 24
Compound: KTbAsO
Source: the Open Quantum Materials Database
Functional: PBE-GGA
Structure: optimized geometry

Unit cell a=4.041 b=4.041 c=10.870 alpha=90.00 beta=90.00 gamma=90.00
Positions (direct):
As (0.000, 0.500, 0.271)
As (0.500, 0.000, 0.729)
K (0.000, 0.000, 0.500)
K (0.500, 0.500, 0.500)
O (0.000, 0.000, 0.000)
O (0.500, 0.500, 0.000)
Tb (0.500, 0.000, 0.097)
Tb (0.000, 0.500, 0.903)

Properties
Relative energy among the computed polymorphs: 78 meV/atom
Space-group type: P4/nmm, No. 129

# 25
Compound: KTbAsO
Source: the Open Quantum Materials Database
Functional: PBE-GGA
Structure: optimized geometry

Unit cell a=4.938 b=6.824 c=5.986 alpha=90.00 beta=90.00 gamma=90.00
Positions (direct):
As (0.000, 0.937, 0.464)
As (0.000, 0.063, 0.964)
K (0.000, 0.626, 0.010)
K (0.000, 0.374, 0.510)
O (0.500, 0.494, 0.269)
O (0.500, 0.506, 0.769)
Tb (0.500, 0.279, 0.011)
Tb (0.500, 0.721, 0.511)

Properties
Relative energy among the computed polymorphs: 26 meV/atom
Space-group type: Pmc2_1, No. 26